# 1
Here is a geometry-optimized AcCdCu5 structure from the Alexandria database. Energies are from PBE-GGA.

## Properties
SG: Pnma (62)
Calculated density: 9.0 g/cm³
Formation energy from the elements: -145 meV/atom

Geometry as POSCAR:
```
AcCdCu5
1.0
5.255 0.000 0.000
0.000 8.598 0.000
0.000 0.000 10.693
Ac Cu Cd
4 20 4
direct
0.250 0.242 0.938
0.750 0.758 0.062
0.250 0.742 0.562
0.750 0.258 0.438
0.999 0.566 0.815
0.250 0.583 0.015
0.250 0.945 0.117
0.250 0.083 0.485
0.499 0.434 0.185
0.001 0.434 0.185
0.750 0.055 0.883
0.750 0.817 0.744
0.750 0.917 0.515
0.001 0.934 0.315
0.501 0.066 0.685
0.499 0.934 0.315
0.750 0.417 0.985
0.999 0.066 0.685
0.750 0.317 0.756
0.250 0.183 0.256
0.250 0.683 0.244
0.250 0.445 0.383
0.750 0.555 0.617
0.501 0.566 0.815
0.250 0.859 0.865
0.250 0.359 0.635
0.750 0.141 0.135
0.750 0.641 0.365
```

---

# 2
Here is a geometry-optimized AcCdCu10 structure from the Alexandria database. Energies are from PBE-GGA.

## Properties
SG: Pmmm (47)
Calculated density: 8.7 g/cm³
Formation energy from the elements: -36 meV/atom

Geometry as POSCAR:
```
AcCdCu10
1.0
4.117 0.000 0.000
0.000 5.087 0.000
0.000 0.000 8.852
Cu Ac Cd
10 1 1
direct
0.000 0.500 0.150
0.500 0.000 0.500
0.500 0.249 0.758
0.000 0.000 0.694
0.000 0.500 0.850
0.500 0.500 0.000
0.500 0.751 0.242
0.500 0.249 0.242
0.000 0.000 0.306
0.500 0.751 0.758
0.000 0.500 0.500
0.000 0.000 0.000
```

---

Which formula does entry 2 have?
AcCdCu10

---

Which of these has the lowest calculated density?
AcCdCu10

---

Which of these has the lowest formation energy from the elements?
AcCdCu5

---

The highest formation energy from the elements belongs to which entry?
AcCdCu10